No. 1
First-principles (GGA-PBE) data for a geometry-optimized Ta2CuRh structure, as listed in Alexandria.

Lattice parameters (Å, degrees): 4.8359 4.8359 2.8364 90.00 90.00 109.90
With the nearest neighbours (Å) after each atom.
Fractional coordinates of all 4 atoms:
Ta: 0.0000 0.5000 0.0000  4 Ta 2.78-2.84, 4 Rh 2.80, 4 Cu 2.80
Ta: 0.5000 0.0000 0.0000  4 Ta 2.78-2.84, 4 Rh 2.80, 4 Cu 2.80
Cu: 0.0000 0.0000 0.5000  2 Rh 2.78, 8 Ta 2.80, 2 Cu 2.84
Rh: 0.5000 0.5000 0.5000  2 Cu 2.78, 8 Ta 2.80, 2 Rh 2.84

Results
**Energy relative to the elements**: -0.180 eV per atom
**VASP energy**: -8.97 eV/atom
**Density of states at the Fermi level**: 0.74 states/eV per atom
**M_tot**: 0.000 μB per atom



No. 2
First-principles (GGA-PBE) data for a geometry-optimized PmSmMg structure, as listed in Alexandria.

Lattice parameters (Å, degrees): 3.4622 5.4677 9.7688 90.00 90.13 90.00
With the nearest neighbours (Å) after each atom.
Fractional coordinates of all 6 atoms:
Pm: 0.0015 0.2500 0.2618  2 Pm 3.46, 6 Mg 3.55-3.59, 6 Sm 3.66-3.81
Pm: 0.9985 0.7500 0.7382  2 Pm 3.46, 6 Mg 3.55-3.59, 6 Sm 3.66-3.81
Sm: 0.4958 0.2500 0.9155  4 Sm 3.19-3.46, 1 Mg 3.28
Sm: 0.5042 0.7500 0.0845  4 Sm 3.19-3.46, 1 Mg 3.28
Mg: 0.4987 0.7500 0.4202  4 Mg 3.15-3.46, 1 Sm 3.28
Mg: 0.5013 0.2500 0.5798  4 Mg 3.15-3.46, 1 Sm 3.28

Results
**Energy relative to the elements**: 0.006 eV per atom
**VASP energy**: -3.68 eV/atom
**Density of states at the Fermi level**: 1.06 states/eV per atom
**M_tot**: 0.000 μB per atom



No. 3
First-principles (GGA-PBE) data for a geometry-optimized RbCrBS2 structure, as listed in Alexandria.

Lattice parameters (Å, degrees): 5.6765 5.6765 4.9284 90.00 90.00 90.00
With the nearest neighbours (Å) after each atom.
Fractional coordinates of all 5 atoms:
Rb: 0.0000 0.0000 0.0000  2 B 2.46
Cr: 0.5000 0.5000 0.5000  8 S 3.76, 4 B 4.01
B: 0.0000 0.0000 0.5000  2 Rb 2.46
S: 0.0000 0.5000 0.0000  2 Rb 2.84
S: 0.5000 0.0000 0.0000  2 Rb 2.84

Results
**E_form (uncorrected)**: 2.05 eV per atom
**VASP energy**: -3.05 eV/atom
**Density of states at the Fermi level**: 0.80 states/eV per atom
**M_tot**: 0.800 μB per atom



No. 4
First-principles (GGA-PBE) data for a geometry-optimized Y2ZnBr2 structure, as listed in Alexandria.

Lattice parameters (Å, degrees): 8.1676 8.1676 3.7280 90.00 90.00 90.00
With the nearest neighbours (Å) after each atom.
Fractional coordinates of all 10 atoms:
Y: 0.1613 0.3387 0.0000  6 Br 3.01-3.06, 2 Zn 3.06
Y: 0.3387 0.8387 0.0000  6 Br 3.01-3.06, 2 Zn 3.06
Y: 0.6613 0.1613 0.0000  6 Br 3.01-3.06, 2 Zn 3.06
Y: 0.8387 0.6613 0.0000  6 Br 3.01-3.06, 2 Zn 3.06
Zn: 0.0000 0.0000 0.0000  4 Y 3.06
Zn: 0.5000 0.5000 0.0000  4 Y 3.06
Br: 0.1341 0.6341 0.5000  6 Y 3.01-3.06, 1 Br 3.10
Br: 0.3659 0.1341 0.5000  6 Y 3.01-3.06, 1 Br 3.10
Br: 0.6341 0.8659 0.5000  6 Y 3.01-3.06, 1 Br 3.10
Br: 0.8659 0.3659 0.5000  6 Y 3.01-3.06, 1 Br 3.10

Results
**E_form (uncorrected)**: -0.59 eV per atom
**VASP energy**: -4.10 eV/atom
**Density of states at the Fermi level**: 0.90 states/eV per atom
**M_tot**: 0.000 μB per atom



No. 5
First-principles (GGA-PBE) data for a geometry-optimized KCuW2 structure, as listed in Alexandria.

Lattice parameters (Å, degrees): 5.9853 5.9853 2.6113 90.00 90.00 126.69
With the nearest neighbours (Å) after each atom.
Fractional coordinates of all 4 atoms:
K: 0.0000 0.0000 0.0000  2 K 2.61, 2 Cu 2.68
Cu: 0.5000 0.5000 0.0000  2 Cu 2.61, 2 K 2.68
W: 0.0000 0.5000 0.5000  4 W 2.61-2.68
W: 0.5000 0.0000 0.5000  4 W 2.61-2.68

Results
**Energy relative to the elements**: 1.477 eV per atom
**VASP energy**: -6.30 eV/atom
**Density of states at the Fermi level**: 1.12 states/eV per atom
**M_tot**: 0.000 μB per atom



No. 6
First-principles (GGA-PBE) data for a geometry-optimized MnZnP structure, as listed in Alexandria.

Lattice parameters (Å, degrees): 4.0230 4.0230 4.0230 60.00 60.00 60.00
With the nearest neighbours (Å) after each atom.
Fractional coordinates of all 3 atoms:
Mn: 0.0000 0.0000 0.0000  4 P 2.46
Zn: 0.5000 0.5000 0.5000  4 P 2.46
P: 0.2500 0.2500 0.2500  4 Zn 2.46, 4 Mn 2.46

Results
**Energy relative to the elements**: 0.047 eV per atom
**VASP energy**: -5.24 eV/atom
**Density of states at the Fermi level**: 0.92 states/eV per atom
**M_tot**: 1.155 μB per atom



No. 7
First-principles (GGA-PBE) data for a geometry-optimized TbY2HoO6 structure, as listed in Alexandria.

Lattice parameters (Å, degrees): 6.0844 6.0844 6.0844 57.17 57.17 57.17
With the nearest neighbours (Å) after each atom.
Fractional coordinates of all 10 atoms:
Tb: 0.0000 0.0000 0.0000  6 O 2.26-2.39
Y: 0.2170 0.2170 0.2170  6 O 2.25-2.37
Y: 0.7178 0.7178 0.7178  6 O 2.26-2.37
Ho: 0.5015 0.5015 0.5015  6 O 2.24-2.35
O: 0.1118 0.8136 0.4020  1 Ho 2.24, 2 Y 2.26-2.37, 1 Tb 2.39
O: 0.3178 0.6077 0.9002  2 Y 2.25-2.37, 1 Tb 2.26, 1 Ho 2.35
O: 0.4020 0.1118 0.8136  1 Ho 2.24, 2 Y 2.26-2.37, 1 Tb 2.39
O: 0.6077 0.9002 0.3178  2 Y 2.25-2.37, 1 Tb 2.26, 1 Ho 2.35
O: 0.8136 0.4020 0.1118  1 Ho 2.24, 2 Y 2.26-2.37, 1 Tb 2.39
O: 0.9002 0.3178 0.6077  2 Y 2.25-2.37, 1 Tb 2.26, 1 Ho 2.35

Results
**E_form (uncorrected)**: -3.52 eV per atom
**VASP energy**: -8.71 eV/atom
**Density of states at the Fermi level**: 0.00 states/eV per atom
**M_tot**: 0.000 μB per atom



No. 8
First-principles (GGA-PBE) data for a geometry-optimized Th3ZrPb5 structure, as listed in Alexandria.

Lattice parameters (Å, degrees): 9.6661 9.6661 6.4318 90.00 90.00 120.00
With the nearest neighbours (Å) after each atom.
Fractional coordinates of all 18 atoms:
Th: 0.0000 0.3838 0.2500  9 Pb 3.30-3.41
Th: 0.0000 0.6162 0.7500  9 Pb 3.30-3.41
Th: 0.3838 0.0000 0.2500  9 Pb 3.30-3.41
Th: 0.3838 0.3838 0.7500  9 Pb 3.30-3.41
Th: 0.6162 0.0000 0.7500  9 Pb 3.30-3.41
Th: 0.6162 0.6162 0.2500  9 Pb 3.30-3.41
Zr: 0.0000 0.0000 0.0000  6 Pb 3.06, 2 Zr 3.22
Zr: 0.0000 0.0000 0.5000  6 Pb 3.06, 2 Zr 3.22
Pb: 0.0000 0.2689 0.7500  2 Zr 3.06, 5 Th 3.30-3.40
Pb: 0.0000 0.7311 0.2500  2 Zr 3.06, 5 Th 3.30-3.40
Pb: 0.2689 0.0000 0.7500  2 Zr 3.06, 5 Th 3.30-3.40
Pb: 0.2689 0.2689 0.2500  2 Zr 3.06, 5 Th 3.30-3.40
Pb: 0.3333 0.6667 0.0000  2 Pb 3.22, 6 Th 3.41
Pb: 0.3333 0.6667 0.5000  2 Pb 3.22, 6 Th 3.41
Pb: 0.6667 0.3333 0.0000  2 Pb 3.22, 6 Th 3.41
Pb: 0.6667 0.3333 0.5000  2 Pb 3.22, 6 Th 3.41
Pb: 0.7311 0.0000 0.2500  2 Zr 3.06, 5 Th 3.30-3.40
Pb: 0.7311 0.7311 0.7500  2 Zr 3.06, 5 Th 3.30-3.40

Results
**Energy relative to the elements**: -0.334 eV per atom
**VASP energy**: -5.82 eV/atom
**Density of states at the Fermi level**: 0.76 states/eV per atom
**M_tot**: 0.000 μB per atom



No. 9
First-principles (GGA-PBE) data for a geometry-optimized MgCu14Ge structure, as listed in Alexandria.

Lattice parameters (Å, degrees): 8.4717 5.1529 5.1529 63.08 90.00 90.00
With the nearest neighbours (Å) after each atom.
Fractional coordinates of all 16 atoms:
Mg: 0.0000 0.0000 0.0000  10 Cu 2.57-2.71, 2 Ge 2.70
Cu: 0.0000 0.5019 0.9941  2 Ge 2.55-2.61, 2 Mg 2.57-2.58, 8 Cu 2.59-2.74
Cu: 0.0000 0.9941 0.5019  2 Ge 2.55-2.61, 2 Mg 2.57-2.58, 8 Cu 2.59-2.74
Cu: 0.2504 0.3157 0.3157  11 Cu 2.56-2.70, 1 Ge 2.67
Cu: 0.2584 0.3202 0.8174  10 Cu 2.53-2.71, 1 Ge 2.64, 1 Mg 2.64
Cu: 0.2584 0.8174 0.3202  10 Cu 2.53-2.71, 1 Ge 2.64, 1 Mg 2.64
Cu: 0.2577 0.8175 0.8175  11 Cu 2.55-2.70, 1 Mg 2.71
Cu: 0.5000 0.1419 0.1419  12 Cu 2.54-2.70
Cu: 0.5000 0.1438 0.6379  12 Cu 2.55-2.73
Cu: 0.5000 0.6379 0.1438  12 Cu 2.55-2.73
Cu: 0.5000 0.6415 0.6415  12 Cu 2.53-2.70
Cu: 0.7416 0.3202 0.8174  10 Cu 2.53-2.71, 1 Ge 2.64, 1 Mg 2.64
Cu: 0.7416 0.8174 0.3202  10 Cu 2.53-2.71, 1 Ge 2.64, 1 Mg 2.64
Cu: 0.7423 0.8175 0.8175  11 Cu 2.55-2.70, 1 Mg 2.71
Cu: 0.7496 0.3157 0.3157  11 Cu 2.56-2.70, 1 Ge 2.67
Ge: 0.0000 0.5006 0.5006  10 Cu 2.55-2.67, 2 Mg 2.70

Results
**Energy relative to the elements**: 0.010 eV per atom
**VASP energy**: -3.96 eV/atom
**Density of states at the Fermi level**: 0.51 states/eV per atom
**M_tot**: 0.000 μB per atom



No. 10
First-principles (GGA-PBE) data for a geometry-optimized LaRh2Br structure, as listed in Alexandria.

Lattice parameters (Å, degrees): 5.0060 5.0060 5.3362 113.64 113.64 45.68
With the nearest neighbours (Å) after each atom.
Fractional coordinates of all 4 atoms:
La: 0.0000 0.0000 0.0000  5 Rh 2.95-3.10, 2 Br 3.02-3.14
Rh: 0.4603 0.4603 0.3819  3 Rh 2.61-2.87, 2 Br 2.73
Rh: 0.7691 0.7691 0.3730  3 Rh 2.61-2.87, 2 Br 2.67
Br: 0.1855 0.1855 0.6273  4 Rh 2.67-2.73

Results
**E_form (uncorrected)**: -0.42 eV per atom
**VASP energy**: -5.75 eV/atom
**Density of states at the Fermi level**: 0.44 states/eV per atom
**M_tot**: 0.000 μB per atom



No. 11
First-principles (GGA-PBE) data for a geometry-optimized CuSeBrN2 structure, as listed in Alexandria.

Lattice parameters (Å, degrees): 3.8455 3.8455 6.1211 90.00 90.00 90.00
With the nearest neighbours (Å) after each atom.
Fractional coordinates of all 5 atoms:
Cu: 0.0000 0.0000 0.0000  4 N 1.92
Se: 0.0000 0.0000 0.5000  4 Br 2.72
Br: 0.5000 0.5000 0.5000  4 Se 2.72
N: 0.0000 0.5000 0.0000  2 Cu 1.92
N: 0.5000 0.0000 0.0000  2 Cu 1.92

Results
**E_form (uncorrected)**: 1.53 eV per atom
**VASP energy**: -3.65 eV/atom
**Density of states at the Fermi level**: 0.44 states/eV per atom
**M_tot**: 0.817 μB per atom